No. 1
First-principles (PBE-GGA) data for crystalline Y2ZrPb at its relaxed geometry, as listed in the Alexandria database.

abc: 6.0515 6.0515 6.0515
angles: 135.28 135.28 65.10
Last column: nearest neighbours and their distance in Å.
Fractional positions:
Pb: 0.7500 0.2500 0.5000  8 Y 3.26-3.44, 4 Zr 3.44
Y: 0.0000 0.0000 0.0000  4 Zr 3.26, 4 Pb 3.44, 4 Y 3.44
Y: 0.2500 0.7500 0.5000  4 Pb 3.26, 4 Zr 3.44, 4 Y 3.44
Zr: 0.5000 0.5000 0.0000  8 Y 3.26-3.44, 4 Pb 3.44

Summary:
The calculated volume is 108.2 Å³/cell. The density is 7.312 g cm⁻³.

***

No. 2
First-principles (PBE-GGA) data for crystalline YZr2Pb at its relaxed geometry, as listed in the Alexandria database.

abc: 5.7522 5.7522 5.6513
angles: 77.21 77.21 33.91
Last column: nearest neighbours and their distance in Å.
Fractional positions:
Pb: 0.5080 0.5080 0.4974  7 Zr 3.17-3.47, 3 Y 3.26-3.31, 2 Pb 3.36
Y: 0.7553 0.7553 0.7367  7 Zr 3.25-3.44, 3 Pb 3.26-3.31, 2 Y 3.36
Zr: 0.9885 0.9885 0.0184  5 Zr 3.15-3.40, 4 Pb 3.23-3.35, 3 Y 3.32-3.44
Zr: 0.2482 0.2482 0.2475  5 Zr 3.15-3.40, 3 Pb 3.17-3.47, 4 Y 3.25-3.32

Summary:
The calculated volume is 101.5 Å³/cell. The density is 7.830 g cm⁻³.

***

No. 3
First-principles (PBE-GGA) data for crystalline YZr2Pb at its relaxed geometry, as listed in the Alexandria database.

abc: 5.7899 5.7899 5.5636
angles: 78.84 78.84 33.63
Last column: nearest neighbours and their distance in Å.
Fractional positions:
Pb: 0.2500 0.2500 0.2500  6 Zr 3.19-3.41, 4 Y 3.25, 2 Pb 3.35
Y: 0.7500 0.7500 0.7500  4 Pb 3.25, 6 Zr 3.28-3.40, 2 Y 3.35
Zr: 0.9894 0.9894 0.0129  6 Zr 3.17-3.35, 3 Pb 3.19-3.41, 3 Y 3.28-3.40
Zr: 0.5106 0.5106 0.4871  6 Zr 3.17-3.35, 3 Pb 3.19-3.41, 3 Y 3.28-3.40

Summary:
The calculated volume is 101.2 Å³/cell. The density is 7.856 g cm⁻³.

***

No. 4
First-principles (PBE-GGA) data for crystalline Y2ZrPb at its relaxed geometry, as listed in the Alexandria database.

abc: 5.9226 5.9226 5.7901
angles: 76.83 76.83 33.89
Last column: nearest neighbours and their distance in Å.
Fractional positions:
Pb: 0.2500 0.2500 0.2500  6 Y 3.31-3.50, 4 Zr 3.37, 2 Pb 3.45
Y: 0.9972 0.9972 0.0013  3 Pb 3.31-3.50, 3 Zr 3.36-3.45, 6 Y 3.37-3.45
Y: 0.5028 0.5028 0.4987  3 Pb 3.31-3.50, 3 Zr 3.36-3.45, 6 Y 3.37-3.45
Zr: 0.7500 0.7500 0.7500  6 Y 3.36-3.45, 4 Pb 3.37, 2 Zr 3.45

Summary:
The calculated volume is 110.0 Å³/cell. The density is 7.189 g cm⁻³.

***

no.,final energy (eV/atom),calculated formation energy (eV per atom)
1,-6.468,-0.172
2,-6.865,-0.048
3,-6.898,-0.080
4,-6.353,-0.057